VASP calculation (PBE+U) on a relaxed CrGaCl2F crystal.

Unit cell a=5.197 b=5.197 c=3.974 alpha=90.00 beta=90.00 gamma=90.00
Site moments in Bohr magnetons follow the coordinates.
Sites, in units of the cell vectors:
Cr  0.000  0.000  0.000  3.79
F  0.000  0.000  0.500  0.01
Ga  0.500  0.500  0.500  0.00
Cl  0.000  0.500  0.000  0.00
Cl  0.500  0.000  0.000  0.00

Results
Space group = P4/mmm, No. 123
Mass density = 3.27 g cm⁻³
DFT total energy = -22.970 eV per cell